Entry 1:
Here is crystalline Ca2HfCl at its relaxed geometry from the Alexandria database. Energies are from PBE.

Calculated values
For the energy above the lowest structure with this stoichiometry, the calculation gives 311.9 meV per atom. As for the total moment: 0.882 μB per atom. The calculation puts the uncorrected formation energy at 33 kJ per mole of atoms. For the density of states at the Fermi level, the calculation gives 0.62 states/eV/atom.

extended XYZ file:
```
4
Lattice="-0.3919 0.4712 5.5694 -2.4576 4.4971 2.2650 -4.9847 -0.4977 2.5097" Properties=species:S:1:pos:R:3 pbc="T T T"
Ca -1.9586 1.1176 2.5860
Ca -5.8757 3.3529 7.7581
Hf -3.9171 2.2353 5.1721
Cl 0.0000 0.0000 0.0000
```

=====

Entry 2:
Here is crystalline CaHfCl6 at its relaxed geometry from the Alexandria database. Energies are from PBE.

Calculated values
For the energy above the lowest structure with this stoichiometry, the calculation gives 0.0 meV per atom. As for the total moment: 0.000 μB per atom. The calculation puts the uncorrected formation energy at -197 kJ per mole of atoms. For the density of states at the Fermi level, the calculation gives 0.00 states/eV/atom.

extended XYZ file:
```
8
Lattice="7.5065 -0.7984 -2.0751 -3.9481 4.9478 -1.5184 -0.0200 0.9274 7.0052" Properties=species:S:1:pos:R:3 pbc="T T T"
Ca 0.0000 0.0000 0.0000
Hf 3.7533 -0.3992 -1.0376
Cl 5.9312 0.2273 -0.0541
Cl 0.9915 4.4444 2.5561
Cl 2.5469 0.6323 0.8556
Cl -2.3928 4.8494 3.4658
Cl -0.1253 2.4157 -1.3500
Cl 3.6838 1.7337 -2.2435
```

=====

Entry 3:
Here is crystalline Ca2HfCl at its relaxed geometry from the Alexandria database. Energies are from PBE.

Calculated values
For the energy above the lowest structure with this stoichiometry, the calculation gives 0.0 meV per atom. As for the total moment: 0.254 μB per atom. The calculation puts the uncorrected formation energy at 2 kJ per mole of atoms. For the density of states at the Fermi level, the calculation gives 0.30 states/eV/atom.

extended XYZ file:
```
8
Lattice="-4.5517 -6.9161 1.1205 5.6537 -2.8365 5.4586 -1.1512 -3.3411 5.8504" Properties=species:S:1:pos:R:3 pbc="T T T"
Ca -2.1254 -5.0558 2.7713
Ca 2.3763 -3.9292 5.0882
Ca -0.0769 -6.3503 7.2153
Ca -0.2724 -10.8520 9.7841
Hf 0.0000 0.0000 0.0000
Hf -2.5760 -7.5667 5.1302
Cl 0.5510 -4.8763 3.2895
Cl 2.5267 -5.5269 7.2992
```

=====

Entry 4:
Here is crystalline Ca3HfCl at its relaxed geometry from the Alexandria database. Energies are from PBE.

Calculated values
For the energy above the lowest structure with this stoichiometry, the calculation gives 727.8 meV per atom. As for the total moment: 0.996 μB per atom. The calculation puts the uncorrected formation energy at 62 kJ per mole of atoms. For the density of states at the Fermi level, the calculation gives 0.83 states/eV/atom.

extended XYZ file:
```
5
Lattice="6.1496 0.0000 0.0000 0.0000 6.1496 0.0000 0.0000 0.0000 6.1496" Properties=species:S:1:pos:R:3 pbc="T T T"
Ca 0.0000 3.0748 0.0000
Ca 0.0000 0.0000 3.0748
Ca 3.0748 0.0000 0.0000
Hf 0.0000 0.0000 0.0000
Cl 3.0748 3.0748 3.0748
```

=====

Entry 5:
Here is crystalline CaHf3Cl at its relaxed geometry from the Alexandria database. Energies are from PBE.

Calculated values
For the energy above the lowest structure with this stoichiometry, the calculation gives 0.0 meV per atom. As for the total moment: 0.000 μB per atom. The calculation puts the uncorrected formation energy at 13 kJ per mole of atoms. For the density of states at the Fermi level, the calculation gives 0.77 states/eV/atom.

extended XYZ file:
```
5
Lattice="-2.4882 -0.0058 4.2173 -3.4273 -2.8505 -2.0261 2.4575 -3.9814 1.4444" Properties=species:S:1:pos:R:3 pbc="T T T"
Ca -1.7290 -3.4189 1.8178
Hf -1.7137 -1.4253 -1.0130
Hf 1.2287 -1.9907 0.7222
Hf -1.2441 -0.0029 2.1086
Cl 0.0000 0.0000 0.0000
```

=====

Entry 6:
Here is crystalline CaHfCl6 at its relaxed geometry from the Alexandria database. Energies are from PBE.

Calculated values
For the energy above the lowest structure with this stoichiometry, the calculation gives 9.0 meV per atom. As for the total moment: 0.000 μB per atom. The calculation puts the uncorrected formation energy at -196 kJ per mole of atoms. For the density of states at the Fermi level, the calculation gives 0.00 states/eV/atom.

extended XYZ file:
```
8
Lattice="-0.7380 2.3009 6.1896 -6.0433 0.2651 2.7460 -1.5286 -4.6861 5.1256" Properties=species:S:1:pos:R:3 pbc="T T T"
Ca -4.1549 -1.0601 7.0306
Hf 0.0000 0.0000 0.0000
Cl -3.5184 -3.2802 5.4887
Cl -2.2576 -1.7816 8.9275
Cl -2.2004 0.3837 5.6855
Cl -6.0523 -0.3385 5.1336
Cl -4.7915 1.1601 8.5725
Cl -6.1095 -2.5039 8.3757
```

=====

Entry 7:
Here is crystalline K2CaHfCl at its relaxed geometry from the Alexandria database. Energies are from PBE.

Calculated values
As for the total moment: 0.000 μB per atom. The calculation puts the uncorrected formation energy at 86 kJ per mole of atoms. For the density of states at the Fermi level, the calculation gives 2.47 states/eV/atom.

extended XYZ file:
```
5
Lattice="7.0170 0.0000 0.0000 0.0000 5.7622 0.0000 0.0000 0.0000 7.0170" Properties=species:S:1:pos:R:3 pbc="T T T"
Ca 0.0000 0.0000 0.0000
Hf 0.0000 2.8811 0.0000
K 0.0000 0.0000 3.5085
K 3.5085 0.0000 0.0000
Cl 3.5085 2.8811 3.5085
```

=====

Entry 8:
Here is crystalline Li2CaHfCl at its relaxed geometry from the Alexandria database. Energies are from PBE.

Calculated values
As for the total moment: 0.453 μB per atom. The calculation puts the uncorrected formation energy at 110 kJ per mole of atoms. For the density of states at the Fermi level, the calculation gives 1.37 states/eV/atom.

extended XYZ file:
```
5
Lattice="-2.6513 -4.8570 -0.7847 3.5491 -2.5780 3.9655 -3.5992 1.3070 4.0709" Properties=species:S:1:pos:R:3 pbc="T T T"
Ca 0.0000 0.0000 0.0000
Li -1.7996 0.6535 2.0355
Li -1.3256 -2.4285 -0.3923
Hf 1.7745 -1.2890 1.9828
Cl -1.3507 -3.0640 3.6259
```

=====

Entry 9:
Here is crystalline Li2CaHfCl8 at its relaxed geometry from the Alexandria database. Energies are from PBE.

Calculated values
As for the total moment: 0.000 μB per atom. The calculation puts the uncorrected formation energy at -189 kJ per mole of atoms. For the density of states at the Fermi level, the calculation gives 0.00 states/eV/atom.

extended XYZ file:
```
12
Lattice="6.4983 -0.6883 -0.0515 -0.7182 6.7283 0.9705 -0.0223 1.2397 7.9371" Properties=species:S:1:pos:R:3 pbc="T T T"
Li 3.2308 2.8814 5.7536
Li 2.5269 4.3983 3.1025
Ca -0.0112 0.6199 3.9685
Hf 0.0000 0.0000 0.0000
Cl 0.2694 5.5423 2.9555
Cl 3.7769 4.6655 1.0832
Cl 5.5291 0.9526 1.5002
Cl 5.4883 1.7374 5.9006
Cl 1.9808 2.6142 7.7729
Cl 0.2286 6.3272 7.3559
Cl 3.5697 5.1302 5.0808
Cl 2.1880 2.1495 3.7753
```

=====

Entry 10:
Here is crystalline Ca2HfNiCl at its relaxed geometry from the Alexandria database. Energies are from PBE.

Calculated values
As for the total moment: 0.193 μB per atom. The calculation puts the uncorrected formation energy at 41 kJ per mole of atoms. For the density of states at the Fermi level, the calculation gives 0.93 states/eV/atom.

extended XYZ file:
```
5
Lattice="5.8828 0.0000 0.0000 0.0000 4.0957 0.0000 0.0000 0.0000 5.8828" Properties=species:S:1:pos:R:3 pbc="T T T"
Ni 0.0000 0.0000 0.0000
Ca 0.0000 0.0000 2.9414
Ca 2.9414 0.0000 0.0000
Hf 2.9414 2.0478 2.9414
Cl 0.0000 2.0478 0.0000
```

=====

Entry 11:
Here is crystalline CaHfPCl2 at its relaxed geometry from the Alexandria database. Energies are from PBE.

Calculated values
For the energy above the lowest structure with this stoichiometry, the calculation gives 0.0 meV per atom. As for the total moment: 0.000 μB per atom. The calculation puts the uncorrected formation energy at -104 kJ per mole of atoms. For the density of states at the Fermi level, the calculation gives 0.36 states/eV/atom.

extended XYZ file:
```
5
Lattice="4.8910 0.0000 0.0000 0.0000 4.8910 0.0000 0.0000 0.0000 5.1803" Properties=species:S:1:pos:R:3 pbc="T T T"
P 0.0000 0.0000 2.5901
Ca 2.4455 2.4455 2.5901
Hf 0.0000 0.0000 0.0000
Cl 0.0000 2.4455 0.0000
Cl 2.4455 0.0000 0.0000
```

=====

Entry 12:
Here is crystalline CaHfPCl2 at its relaxed geometry from the Alexandria database. Energies are from PBE.

Calculated values
For the energy above the lowest structure with this stoichiometry, the calculation gives 846.2 meV per atom. As for the total moment: 0.186 μB per atom. The calculation puts the uncorrected formation energy at -23 kJ per mole of atoms. For the density of states at the Fermi level, the calculation gives 0.57 states/eV/atom.

extended XYZ file:
```
5
Lattice="-4.7711 -0.8021 0.0327 -0.0002 -0.1957 -4.8342 0.9972 -5.9221 0.2397" Properties=species:S:1:pos:R:3 pbc="T T T"
P 0.4986 -2.9610 0.1199
Ca 0.0000 0.0000 0.0000
Hf -1.8871 -3.4599 -2.2809
Cl -0.0001 -0.0979 -2.4171
Cl -2.3855 -0.4010 0.0163
```

=====

Entry 13:
Here is crystalline Rb2CaHfCl6 at its relaxed geometry from the Alexandria database. Energies are from PBE.

Calculated values
As for the total moment: 0.200 μB per atom. The calculation puts the uncorrected formation energy at -171 kJ per mole of atoms. For the density of states at the Fermi level, the calculation gives 0.68 states/eV/atom.

extended XYZ file:
```
10
Lattice="7.4730 0.0000 0.0000 0.0000 7.4730 0.0000 3.7365 3.7365 5.2838" Properties=species:S:1:pos:R:3 pbc="T T T"
Ca 3.7365 3.7365 0.0000
Hf 0.0000 0.0000 0.0000
Rb 7.4730 3.7365 2.6419
Rb 3.7365 7.4730 2.6419
Cl 3.7365 3.7365 2.7154
Cl 7.4730 7.4730 2.5684
Cl 1.8161 1.8161 0.0000
Cl 5.6568 5.6568 0.0000
Cl 5.6568 1.8161 0.0000
Cl 1.8161 5.6568 0.0000
```

=====

Entry 14:
Here is crystalline CaHf2RuCl at its relaxed geometry from the Alexandria database. Energies are from PBE.

Calculated values
As for the total moment: 0.000 μB per atom. The calculation puts the uncorrected formation energy at 28 kJ per mole of atoms. For the density of states at the Fermi level, the calculation gives 0.65 states/eV/atom.

extended XYZ file:
```
5
Lattice="4.9106 0.0000 0.0000 0.0000 5.6924 0.0000 0.0000 0.0000 4.9106" Properties=species:S:1:pos:R:3 pbc="T T T"
Ru 0.0000 0.0000 0.0000
Ca 2.4553 2.8462 2.4553
Hf 0.0000 0.0000 2.4553
Hf 2.4553 0.0000 0.0000
Cl 0.0000 2.8462 0.0000
```

=====

Entry 15:
Here is crystalline CaHfS2Cl at its relaxed geometry from the Alexandria database. Energies are from PBE.

Calculated values
For the energy above the lowest structure with this stoichiometry, the calculation gives 1173.7 meV per atom. As for the total moment: 0.192 μB per atom. The calculation puts the uncorrected formation energy at -23 kJ per mole of atoms. For the density of states at the Fermi level, the calculation gives 0.79 states/eV/atom.

extended XYZ file:
```
5
Lattice="5.1615 0.0000 0.0000 0.0000 5.1615 0.0000 0.0000 0.0000 4.8129" Properties=species:S:1:pos:R:3 pbc="T T T"
Ca 0.0000 0.0000 0.0000
Hf 2.5807 2.5807 2.4064
S 0.0000 2.5807 0.0000
S 2.5807 0.0000 0.0000
Cl 0.0000 0.0000 2.4064
```

=====

Entry 16:
Here is crystalline CaHfS2Cl at its relaxed geometry from the Alexandria database. Energies are from PBE.

Calculated values
For the energy above the lowest structure with this stoichiometry, the calculation gives 0.0 meV per atom. As for the total moment: 0.000 μB per atom. The calculation puts the uncorrected formation energy at -137 kJ per mole of atoms. For the density of states at the Fermi level, the calculation gives 0.46 states/eV/atom.

extended XYZ file:
```
5
Lattice="4.9746 0.0000 0.0000 0.0000 4.9746 0.0000 0.0000 0.0000 4.8588" Properties=species:S:1:pos:R:3 pbc="T T T"
Ca 2.4873 2.4873 2.4294
Hf 0.0000 0.0000 0.0000
S 0.0000 2.4873 0.0000
S 2.4873 0.0000 0.0000
Cl 0.0000 0.0000 2.4294
```

=====

Entry 17:
Here is crystalline CaHfZrCl2 at its relaxed geometry from the Alexandria database. Energies are from PBE.

Calculated values
As for the total moment: 0.492 μB per atom. The calculation puts the uncorrected formation energy at -3 kJ per mole of atoms. For the density of states at the Fermi level, the calculation gives 1.38 states/eV/atom.

extended XYZ file:
```
5
Lattice="4.9882 0.0000 0.0000 0.0000 5.9014 0.0000 0.0000 0.0000 4.9882" Properties=species:S:1:pos:R:3 pbc="T T T"
Ca 2.4941 2.9507 2.4941
Hf 0.0000 0.0000 0.0000
Zr 0.0000 2.9507 0.0000
Cl 0.0000 0.0000 2.4941
Cl 2.4941 0.0000 0.0000
```

=====

Entry 18:
Here is crystalline CaHgCl4 at its relaxed geometry from the Alexandria database. Energies are from PBE.

Calculated values
For the energy above the lowest structure with this stoichiometry, the calculation gives 0.0 meV per atom. As for the total moment: 0.000 μB per atom. The calculation puts the uncorrected formation energy at -141 kJ per mole of atoms. For the density of states at the Fermi level, the calculation gives 0.00 states/eV/atom.

extended XYZ file:
```
12
Lattice="-6.6753 -0.9694 -0.0996 -0.0242 -6.3346 0.2601 3.1693 4.0072 8.5550" Properties=species:S:1:pos:R:3 pbc="T T T"
Ca -1.7053 -3.3617 1.2713
Ca -1.8249 0.0649 7.4441
Hg 1.5283 -2.6721 6.3011
Hg -5.0585 -0.6246 2.4143
Cl -6.3683 -2.5172 0.8094
Cl -3.7038 -5.2025 0.9756
Cl -0.3187 -1.3243 5.5293
Cl -3.2116 -1.9725 3.1862
Cl -0.2826 -4.5864 3.3549
Cl 0.1736 1.9058 7.7398
Cl -3.2476 1.2896 5.3605
Cl 2.8381 -0.7795 7.9060
```

=====

Entry 19:
Here is crystalline CaHgCl2 at its relaxed geometry from the Alexandria database. Energies are from PBE.

Calculated values
For the energy above the lowest structure with this stoichiometry, the calculation gives 0.0 meV per atom. As for the total moment: 0.000 μB per atom. The calculation puts the uncorrected formation energy at -170 kJ per mole of atoms. For the density of states at the Fermi level, the calculation gives 0.00 states/eV/atom.

extended XYZ file:
```
4
Lattice="-1.3067 3.8919 -0.0234 -1.5828 1.6131 -3.4274 -10.0455 -1.3280 1.7039" Properties=species:S:1:pos:R:3 pbc="T T T"
Ca -9.7013 3.1327 -1.3102
Hg -3.2338 1.0442 -0.4367
Cl -9.0643 -0.9680 1.3833
Cl -7.4488 1.7284 -0.5528
```

=====

Entry 20:
Here is crystalline CaHg2Cl6 at its relaxed geometry from the Alexandria database. Energies are from PBE.

Calculated values
For the energy above the lowest structure with this stoichiometry, the calculation gives 20.7 meV per atom. As for the total moment: 0.000 μB per atom. The calculation puts the uncorrected formation energy at -112 kJ per mole of atoms. For the density of states at the Fermi level, the calculation gives 0.00 states/eV/atom.

extended XYZ file:
```
9
Lattice="4.1478 0.0000 0.0000 -2.0739 6.6555 0.8324 0.0000 -1.1843 10.4239" Properties=species:S:1:pos:R:3 pbc="T T T"
Ca 0.0000 -0.5922 5.2120
Hg 2.0739 2.2428 8.5186
Hg 0.0000 3.2283 2.7378
Cl 2.0739 4.6905 8.4259
Cl 2.0739 4.3609 1.7679
Cl 0.0000 1.1103 9.4884
Cl 2.0739 1.0366 6.0912
Cl 0.0000 4.4346 5.1651
Cl 0.0000 0.7807 2.8304
```

=====

Number 1: mass density 3.93 g cm⁻³. Number 2: mass density 2.80 g cm⁻³. Number 3: mass density 4.07 g cm⁻³. Number 4: mass density 2.39 g cm⁻³. Number 5: mass density 8.64 g cm⁻³. Number 6: mass density 3.13 g cm⁻³. Number 7: mass density 1.94 g cm⁻³. Number 8: mass density 2.41 g cm⁻³. Number 9: mass density 2.56 g cm⁻³. Number 10: mass density 4.13 g cm⁻³. Number 11: mass density 4.29 g cm⁻³. Number 12: mass density 3.78 g cm⁻³. Number 13: mass density 3.39 g cm⁻³. Number 14: mass density 6.45 g cm⁻³. Number 15: mass density 4.12 g cm⁻³. Number 16: mass density 4.39 g cm⁻³. Number 17: mass density 4.31 g cm⁻³. Number 18: mass density 3.47 g cm⁻³. Number 19: mass density 3.53 g cm⁻³. Number 20: mass density 3.72 g cm⁻³.